(1)
The following is a DFT calculation (PBE) of a geometry-optimized Na2Pd3Pt structure.

a = 5.385 Å, b = 5.385 Å, c = 5.357 Å
α = 90.24°, β = 120.08°, γ = 119.81°
Atoms (fractional coordinates):
Pd  0.500  0.500  0.500
Pd  0.500  0.000  0.500
Pd  0.000  0.000  0.500
Pt  0.000  0.000  0.000
Na  0.251  0.625  0.876
Na  0.749  0.375  0.124

Computed properties:
ΔE_f: -214 meV/atom
density of states at the Fermi level: 0.64 states/eV/atom
E: -25.54 eV for the cell shown

---

(2)
The following is a DFT calculation (PBE) of a geometry-optimized NaPd3Pt structure.

a = 4.964 Å, b = 4.964 Å, c = 4.964 Å
α = 90.00°, β = 90.00°, γ = 90.00°
Atoms (fractional coordinates):
Pd  0.500  0.000  0.000
Pd  0.000  0.500  0.000
Pd  0.000  0.000  0.500
Pt  0.000  0.000  0.000
Na  0.500  0.500  0.500

Computed properties:
ΔE_f: 622 meV/atom
density of states at the Fermi level: 1.27 states/eV/atom
E: -19.83 eV for the cell shown
distance to the lowest polymorph of the same formula: 0.00 eV per formula unit

---

(3)
The following is a DFT calculation (PBE) of a geometry-optimized NaPdPt3 structure.

a = 4.912 Å, b = 4.912 Å, c = 4.912 Å
α = 90.00°, β = 90.00°, γ = 90.00°
Atoms (fractional coordinates):
Pt  0.000  0.500  0.000
Pt  0.500  0.000  0.000
Pt  0.000  0.000  0.500
Pd  0.000  0.000  0.000
Na  0.500  0.500  0.500

Computed properties:
ΔE_f: 938 meV/atom
density of states at the Fermi level: 1.43 states/eV/atom
E: -19.94 eV for the cell shown
distance to the lowest polymorph of the same formula: 0.00 eV per formula unit

---

(4)
The following is a DFT calculation (PBE) of a geometry-optimized Na2Pd2Pt structure.

a = 6.631 Å, b = 6.631 Å, c = 4.613 Å
α = 90.00°, β = 90.00°, γ = 90.00°
Atoms (fractional coordinates):
Pd  0.135  0.365  0.000
Na  0.823  0.323  0.500
Na  0.677  0.823  0.500
Pd  0.865  0.635  0.000
Na  0.177  0.677  0.500
Pt  0.000  0.000  0.000
Pd  0.635  0.135  0.000
Pd  0.365  0.865  0.000
Na  0.323  0.177  0.500
Pt  0.500  0.500  0.000

Computed properties:
ΔE_f: -16 meV/atom
density of states at the Fermi level: 0.22 states/eV/atom
E: -38.29 eV for the cell shown

---

(5)
The following is a DFT calculation (PBE) of a geometry-optimized NaPdPt2Rh structure.

a = 4.574 Å, b = 4.477 Å, c = 4.574 Å
α = 90.00°, β = 90.00°, γ = 90.00°
Last column: magnetic moment on the atom in μB.
Atoms (fractional coordinates):
Pt  0.000  0.000  0.500  0.26
Pd  0.500  0.500  0.500  0.30
Na  0.000  0.000  0.000  -0.01
Pt  0.500  0.000  0.000  0.26
Rh  0.000  0.500  0.000  1.03

Computed properties:
ΔE_f: 1574 meV/atom
density of states at the Fermi level: 1.29 states/eV/atom
E: -18.08 eV for the cell shown

---

(6)
The following is a DFT calculation (PBE) of a geometry-optimized NaPdRuPt2 structure.

a = 4.735 Å, b = 5.009 Å, c = 4.735 Å
α = 90.00°, β = 90.00°, γ = 90.00°
Atoms (fractional coordinates):
Pt  0.500  0.000  0.000
Pt  0.000  0.000  0.500
Ru  0.000  0.000  0.000
Na  0.000  0.500  0.000
Pd  0.500  0.500  0.500

Computed properties:
ΔE_f: 1158 meV/atom
density of states at the Fermi level: 1.00 states/eV/atom
E: -22.08 eV for the cell shown

---

Please write out number 1 again, unchanged.
The following is a DFT calculation (PBE) of a geometry-optimized Na2Pd3Pt structure.

a = 5.385 Å, b = 5.385 Å, c = 5.357 Å
α = 90.24°, β = 120.08°, γ = 119.81°
Atoms (fractional coordinates):
Pd  0.500  0.500  0.500
Pd  0.500  0.000  0.500
Pd  0.000  0.000  0.500
Pt  0.000  0.000  0.000
Na  0.251  0.625  0.876
Na  0.749  0.375  0.124

Computed properties:
ΔE_f: -214 meV/atom
density of states at the Fermi level: 0.64 states/eV/atom
E: -25.54 eV for the cell shown

---

Question: Which of these has the highest E?
Answer: NaPdPt2Rh

---

Question: What is the E in the third record?
Answer: -19.94 eV for the cell shown

---

Question: Look up the density of states at the Fermi level of the first one.
Answer: 0.64 states/eV/atom